(1)
A plane-wave DFT calculation with PBE was carried out for crystalline KSmTe3Pd at its relaxed geometry.

```
12
Lattice="2.239 -8.871 0.000 2.239 8.871 0.000 0.000 0.000 10.251" Properties=species:S:1:pos:R:3 pbc="T T T"
K 2.239 4.511 7.688
K 2.239 -4.511 2.563
Sm 0.000 0.000 0.000
Sm 0.000 0.000 5.125
Te 2.239 7.100 2.563
Te 2.239 2.017 0.950
Te 2.239 2.017 4.175
Te 2.239 -2.017 6.076
Te 2.239 -2.017 9.300
Te 2.239 -7.100 7.688
Pd 2.239 0.123 7.688
Pd 2.239 -0.123 2.563
```

Results
symmetry	Cmcm (63)
total moment	0.0003	μB per atom
electronic total energy	-0.16112	Ha/atom



(2)
A plane-wave DFT calculation with PBE was carried out for crystalline ErNiSn2 at its relaxed geometry.

```
48
Lattice="16.111 0.000 0.000 0.000 4.427 0.000 0.000 0.000 14.546" Properties=species:S:1:pos:R:3 pbc="T T T"
Er 2.085 1.107 3.274
Er 2.348 3.320 8.767
Er 2.423 1.107 14.127
Er 5.633 3.320 6.854
Er 5.708 1.107 1.494
Er 5.971 3.320 10.547
Er 10.141 1.107 3.998
Er 10.403 3.320 13.052
Er 10.478 1.107 7.692
Er 13.689 3.320 0.419
Er 13.764 1.107 5.779
Er 14.026 3.320 11.271
Ni 0.871 3.320 1.539
Ni 3.069 1.107 10.809
Ni 3.232 1.107 6.575
Ni 4.824 3.320 13.848
Ni 4.987 3.320 3.536
Ni 7.184 1.107 8.812
Ni 8.927 3.320 5.734
Ni 11.124 1.107 11.010
Ni 11.287 1.107 0.698
Ni 12.880 3.320 7.971
Ni 13.043 3.320 3.737
Ni 15.240 1.107 13.007
Sn 0.316 3.320 13.398
Sn 0.452 1.107 10.696
Sn 0.696 1.107 6.504
Sn 2.836 3.320 5.342
Sn 2.936 3.320 11.958
Sn 3.478 3.320 1.498
Sn 4.578 1.107 8.771
Sn 5.120 1.107 4.685
Sn 5.219 1.107 12.615
Sn 7.360 3.320 13.777
Sn 7.603 3.320 3.423
Sn 7.739 1.107 6.126
Sn 8.372 3.320 8.420
Sn 8.508 1.107 11.123
Sn 8.752 1.107 0.769
Sn 10.892 3.320 1.931
Sn 10.992 3.320 9.860
Sn 11.534 3.320 5.775
Sn 12.633 1.107 13.048
Sn 13.175 1.107 2.588
Sn 13.275 1.107 9.204
Sn 15.415 3.320 8.042
Sn 15.659 3.320 3.850
Sn 15.795 1.107 1.147
```

Results
symmetry	Pnma (62)
total moment	0.0001	μB per atom
electronic total energy	-0.18719	Ha/atom



(3)
A plane-wave DFT calculation with PBE was carried out for crystalline NbMo at its relaxed geometry.

```
4
Lattice="0.000 3.229 3.229 3.229 0.000 3.229 3.229 3.229 0.000" Properties=species:S:1:pos:R:3 pbc="T T T"
Nb 0.807 0.807 0.807
Nb 5.652 5.652 5.652
Mo 2.422 2.422 2.422
Mo 4.037 4.037 4.037
```

Results
symmetry	Fd-3m (227)
total moment	0.0006	μB per atom
formation enthalpy at 0 K	-77	meV per atom
electronic total energy	-0.38765	Ha/atom



> Number 2 is which compound?

ErNiSn2